# PBE-GGA GdAsNO, optimized geometry
# ΔE to the lowest computed polymorph = 0.273 eV/atom
data_GdAsNO
_symmetry_space_group_name_H-M 'P 1'
_symmetry_Int_Tables_number 1
_cell_length_a 6.6067
_cell_length_b 7.0015
_cell_length_c 5.6218
_cell_angle_alpha 90.00
_cell_angle_beta 90.00
_cell_angle_gamma 90.00
loop_
_symmetry_equiv_pos_as_xyz
'x,y,z'
loop_
_atom_site_label
_atom_site_type_symbol
_atom_site_fract_x
_atom_site_fract_y
_atom_site_fract_z
Gd1 Gd 0.0836 0.1739 0.0000
Gd2 Gd 0.4164 0.1739 0.5000
Gd3 Gd 0.5836 0.8261 0.0000
Gd4 Gd 0.9164 0.8261 0.5000
As1 As 0.1543 0.7076 0.0426
As2 As 0.3457 0.7076 0.5426
As3 As 0.6543 0.2924 0.0426
As4 As 0.8457 0.2924 0.5426
N1 N 0.0754 0.1352 0.5746
N2 N 0.4246 0.1352 0.0746
N3 N 0.5754 0.8648 0.5746
N4 N 0.9246 0.8648 0.0746
O1 O 0.0666 0.4739 0.0694
O2 O 0.4334 0.4739 0.5694
O3 O 0.5666 0.5261 0.0694
O4 O 0.9334 0.5261 0.5694